# La4Dy5Th | the Alexandria database | PBE-GGA | relaxed
# **VASP energy**: -48.29 eV per cell
# **Formation energy from the elements**: 1.85 eV per formula unit
data_La4Dy5Th
_chemical_formula_sum 'La4 Dy5 Th1'
_symmetry_space_group_name_H-M 'P -1'
_symmetry_Int_Tables_number 2
_cell_length_a 5.5247
_cell_length_b 6.4688
_cell_length_c 10.7151
_cell_angle_alpha 90.01
_cell_angle_beta 90.01
_cell_angle_gamma 115.21
loop_
_symmetry_equiv_pos_as_xyz
'x,y,z'
'-x,-y,-z'
loop_
_atom_site_label
_atom_site_type_symbol
_atom_site_fract_x
_atom_site_fract_y
_atom_site_fract_z
_atom_site_occupancy
La1 La 0.0571 0.1148 0.2495 1
La2 La 0.3357 0.6704 0.2516 1
Dy1 Dy 0.1958 0.3918 0.9343 1
Dy2 Dy 0.1981 0.3963 0.5683 1
Dy3 Dy 0.5000 0.0000 0.5000 1
Th1 Th 0.5000 0.0000 0.0000 1



# EuDyMgIn | the Alexandria database | PBE-GGA | relaxed
# **VASP energy**: -81.46 eV per cell
# **Formation energy from the elements**: -1.16 eV per formula unit
data_EuDyMgIn
_chemical_formula_sum 'Eu4 Dy4 Mg4 In4'
_symmetry_space_group_name_H-M 'F -4 3 m'
_symmetry_Int_Tables_number 216
_symmetry_space_group_name_Hall 'F -4 2 3'
_cell_length_a 7.7045
_cell_length_b 7.7045
_cell_length_c 7.7045
_cell_angle_alpha 90.00
_cell_angle_beta 90.00
_cell_angle_gamma 90.00
loop_
_atom_site_label
_atom_site_type_symbol
_atom_site_fract_x
_atom_site_fract_y
_atom_site_fract_z
_atom_site_occupancy
Eu1 Eu 0.0000 0.0000 0.0000 1
Dy1 Dy 0.0000 0.0000 0.5000 1
Mg1 Mg 0.2500 0.2500 0.2500 1
In1 In 0.2500 0.2500 0.7500 1



# CrTe2RhI | the Alexandria database | PBE-GGA | relaxed
# **Formation energy (no corrections)**: 1.0690 eV/atom
# **VASP energy**: -19.46 eV per cell
data_CrTe2RhI
_chemical_formula_sum 'Cr1 Te2 Rh1 I1'
_symmetry_space_group_name_H-M 'P 4/m m m'
_symmetry_Int_Tables_number 123
_symmetry_space_group_name_Hall '-P 4 2'
_cell_length_a 5.2127
_cell_length_b 5.2127
_cell_length_c 5.3155
_cell_angle_alpha 90.00
_cell_angle_beta 90.00
_cell_angle_gamma 90.00
loop_
_atom_site_label
_atom_site_type_symbol
_atom_site_fract_x
_atom_site_fract_y
_atom_site_fract_z
_atom_site_occupancy
Cr1 Cr 0.0000 0.0000 0.0000 1
Te1 Te 0.0000 0.5000 0.5000 1
Rh1 Rh 0.5000 0.5000 0.5000 1
I1 I 0.5000 0.5000 0.0000 1



- Which value of VASP energy does entry 2 give?
  -81.46 eV per cell